1.
Below is a relaxed structure of TbNd2HoEr, with properties calculated at the PBE-GGA level.

Results
total magnetization: 0.00 μB per atom
ΔE_f: 0.257 eV/atom

CIF file:
```
data_TbNd2HoEr
_chemical_formula_sum 'Tb2 Nd4 Ho2 Er2'
_symmetry_space_group_name_H-M 'P m m a'
_symmetry_Int_Tables_number 51
_cell_length_a 6.288
_cell_length_b 8.075
_cell_length_c 6.630
_cell_angle_alpha 90.00
_cell_angle_beta 90.00
_cell_angle_gamma 90.00
loop_
_symmetry_equiv_pos_as_xyz
'x,y,z'
'-x,-y,-z'
'-x+1/2,-y,z'
'x+1/2,y,-z'
'x+1/2,-y,-z'
'-x+1/2,y,z'
'-x,y,-z'
'x,-y,z'
loop_
_atom_site_label
_atom_site_fract_x
_atom_site_fract_y
_atom_site_fract_z
Tb1 0.250 0.000 0.083
Nd1 0.250 0.301 0.796
Ho1 0.250 0.500 0.326
Er1 0.000 0.000 0.500
```

=====

2.
Below is a relaxed structure of KBaMg2Ag, with properties calculated at the PBE-GGA level.

Results
total magnetization: 0.00 μB per atom
ΔE_f: 0.062 eV/atom

CIF file:
```
data_KBaMg2Ag
_chemical_formula_sum 'K1 Ba1 Mg2 Ag1'
_symmetry_space_group_name_H-M 'P 4/m m m'
_symmetry_Int_Tables_number 123
_symmetry_space_group_name_Hall '-P 4 2'
_cell_length_a 5.556
_cell_length_b 5.556
_cell_length_c 6.160
_cell_angle_alpha 90.00
_cell_angle_beta 90.00
_cell_angle_gamma 90.00
loop_
_atom_site_label
_atom_site_fract_x
_atom_site_fract_y
_atom_site_fract_z
K1 0.000 0.000 0.000
Ba1 0.500 0.500 0.000
Mg1 0.000 0.500 0.500
Ag1 0.500 0.500 0.500
```

=====

3.
Below is a relaxed structure of SiNi6Pt12, with properties calculated at the PBE-GGA level.

Results
formation energy from raw total energies: 0.091 eV/atom
total magnetization: 0.30 μB per atom

CIF file:
```
data_SiNi6Pt12
_chemical_formula_sum 'Si3 Ni18 Pt36'
_symmetry_space_group_name_H-M 'R -3'
_symmetry_Int_Tables_number 148
_symmetry_space_group_name_Hall '-R 3'
_cell_length_a 10.6521
_cell_length_b 10.6521
_cell_length_c 8.8714
_cell_angle_alpha 90.00
_cell_angle_beta 90.00
_cell_angle_gamma 120.00
loop_
_atom_site_label
_atom_site_fract_x
_atom_site_fract_y
_atom_site_fract_z
Si1 0.0000 0.0000 0.0000
Ni1 0.0303 0.1423 0.7068
Pt1 0.0602 0.4706 0.1165
Pt2 0.0667 0.4783 0.6217
```

=====

4.
Below is a relaxed structure of Ca2IrBr, with properties calculated at the PBE-GGA level.

Results
formation energy from raw total energies: -0.805 eV/atom
offset from the most stable computed form: 0.068 eV/atom
total magnetization: 0.00 μB per atom

CIF file:
```
data_Ca2IrBr
_chemical_formula_sum 'Ca4 Ir2 Br2'
_symmetry_space_group_name_H-M 'C 1 2/m 1'
_symmetry_Int_Tables_number 12
_cell_length_a 7.166
_cell_length_b 4.123
_cell_length_c 7.662
_cell_angle_alpha 90.00
_cell_angle_beta 108.18
_cell_angle_gamma 90.00
loop_
_symmetry_equiv_pos_as_xyz
'x,y,z'
'-x,-y,-z'
'-x,y,-z'
'x,-y,z'
'x+1/2,y+1/2,z'
'-x+1/2,-y+1/2,-z'
'-x+1/2,y+1/2,-z'
'x+1/2,-y+1/2,z'
loop_
_atom_site_label
_atom_site_fract_x
_atom_site_fract_y
_atom_site_fract_z
Ca1 0.237 0.000 0.207
Ir1 0.000 0.500 0.000
Br1 0.000 0.000 0.500
```

=====

5.
Below is a relaxed structure of Tm5Hg2Te2, with properties calculated at the PBE-GGA level.

Results
formation energy from raw total energies: -0.776 eV/atom
total magnetization: 0.00 μB per atom

CIF file:
```
data_Tm5Hg2Te2
_chemical_formula_sum 'Tm20 Hg8 Te8'
_symmetry_space_group_name_H-M 'C m c e'
_symmetry_Int_Tables_number 64
_symmetry_space_group_name_Hall '-C 2ac 2'
_cell_length_a 15.300
_cell_length_b 7.984
_cell_length_c 7.959
_cell_angle_alpha 90.00
_cell_angle_beta 90.00
_cell_angle_gamma 90.00
loop_
_atom_site_label
_atom_site_fract_x
_atom_site_fract_y
_atom_site_fract_z
Tm1 0.000 0.000 0.000
Tm2 0.129 0.165 0.337
Hg1 0.000 0.135 0.633
Te1 0.205 0.000 0.000
```

=====

6.
Below is a relaxed structure of BaTcNi, with properties calculated at the PBE-GGA level.

Results
offset from the most stable computed form: 0.000 eV/atom
total magnetization: 0.16 μB per atom
ΔE_f: 0.573 eV/atom

CIF file:
```
data_BaTcNi
_chemical_formula_sum 'Ba1 Tc1 Ni1'
_symmetry_space_group_name_H-M 'P -6 m 2'
_symmetry_Int_Tables_number 187
_symmetry_space_group_name_Hall 'P -6 2'
_cell_length_a 4.0645
_cell_length_b 4.0645
_cell_length_c 5.1816
_cell_angle_alpha 90.00
_cell_angle_beta 90.00
_cell_angle_gamma 120.00
loop_
_atom_site_label
_atom_site_fract_x
_atom_site_fract_y
_atom_site_fract_z
Ba1 0.0000 0.0000 0.0000
Tc1 0.3333 0.6667 0.5000
Ni1 0.6667 0.3333 0.5000
```

=====

7.
Below is a relaxed structure of Sc2BeRh, with properties calculated at the PBE-GGA level.

Results
total magnetization: 0.00 μB per atom
ΔE_f: -0.392 eV/atom

CIF file:
```
data_Sc2BeRh
_chemical_formula_sum 'Sc4 Be2 Rh2'
_symmetry_space_group_name_H-M 'I m m 2'
_symmetry_Int_Tables_number 44
_cell_length_a 3.149
_cell_length_b 4.464
_cell_length_c 9.577
_cell_angle_alpha 90.00
_cell_angle_beta 90.00
_cell_angle_gamma 90.00
loop_
_symmetry_equiv_pos_as_xyz
'x,y,z'
'-x,-y,z'
'-x,y,z'
'x,-y,z'
'x+1/2,y+1/2,z+1/2'
'-x+1/2,-y+1/2,z+1/2'
'-x+1/2,y+1/2,z+1/2'
'x+1/2,-y+1/2,z+1/2'
loop_
_atom_site_label
_atom_site_fract_x
_atom_site_fract_y
_atom_site_fract_z
Sc1 0.000 0.000 0.000
Sc2 0.000 0.500 0.214
Be1 0.000 0.500 0.780
Rh1 0.000 0.000 0.461
```

=====

8.
Below is a relaxed structure of TbY6Ho12, with properties calculated at the PBE-GGA level.

Results
offset from the most stable computed form: 0.000 eV/atom
total magnetization: 0.00 μB per atom
ΔE_f: 0.217 eV/atom

CIF file:
```
data_TbY6Ho12
_chemical_formula_sum 'Tb3 Y18 Ho36'
_symmetry_space_group_name_H-M 'R -3 m'
_symmetry_Int_Tables_number 166
_symmetry_space_group_name_Hall '-R 3 2"'
_cell_length_a 13.1163
_cell_length_b 13.1163
_cell_length_c 12.5879
_cell_angle_alpha 90.00
_cell_angle_beta 90.00
_cell_angle_gamma 120.00
loop_
_atom_site_label
_atom_site_fract_x
_atom_site_fract_y
_atom_site_fract_z
Tb1 0.0000 0.0000 0.0000
Y1 0.0378 0.5189 0.6203
Ho1 0.0000 0.2567 0.5000
Ho2 0.0913 0.1825 0.2639
```

=====

What did the first record say?
Below is a relaxed structure of TbNd2HoEr, with properties calculated at the PBE-GGA level.

Results
total magnetization: 0.00 μB per atom
ΔE_f: 0.257 eV/atom

CIF file:
```
data_TbNd2HoEr
_chemical_formula_sum 'Tb2 Nd4 Ho2 Er2'
_symmetry_space_group_name_H-M 'P m m a'
_symmetry_Int_Tables_number 51
_cell_length_a 6.288
_cell_length_b 8.075
_cell_length_c 6.630
_cell_angle_alpha 90.00
_cell_angle_beta 90.00
_cell_angle_gamma 90.00
loop_
_symmetry_equiv_pos_as_xyz
'x,y,z'
'-x,-y,-z'
'-x+1/2,-y,z'
'x+1/2,y,-z'
'x+1/2,-y,-z'
'-x+1/2,y,z'
'-x,y,-z'
'x,-y,z'
loop_
_atom_site_label
_atom_site_fract_x
_atom_site_fract_y
_atom_site_fract_z
Tb1 0.250 0.000 0.083
Nd1 0.250 0.301 0.796
Ho1 0.250 0.500 0.326
Er1 0.000 0.000 0.500
```

=====

Repeat the first record exactly.
Below is a relaxed structure of TbNd2HoEr, with properties calculated at the PBE-GGA level.

Results
total magnetization: 0.00 μB per atom
ΔE_f: 0.257 eV/atom

CIF file:
```
data_TbNd2HoEr
_chemical_formula_sum 'Tb2 Nd4 Ho2 Er2'
_symmetry_space_group_name_H-M 'P m m a'
_symmetry_Int_Tables_number 51
_cell_length_a 6.288
_cell_length_b 8.075
_cell_length_c 6.630
_cell_angle_alpha 90.00
_cell_angle_beta 90.00
_cell_angle_gamma 90.00
loop_
_symmetry_equiv_pos_as_xyz
'x,y,z'
'-x,-y,-z'
'-x+1/2,-y,z'
'x+1/2,y,-z'
'x+1/2,-y,-z'
'-x+1/2,y,z'
'-x,y,-z'
'x,-y,z'
loop_
_atom_site_label
_atom_site_fract_x
_atom_site_fract_y
_atom_site_fract_z
Tb1 0.250 0.000 0.083
Nd1 0.250 0.301 0.796
Ho1 0.250 0.500 0.326
Er1 0.000 0.000 0.500
```